(1)
A plane-wave DFT calculation with PBE was carried out for a relaxed structure of DyHoPa2Rh4.

Values from the calculation:
The calculation puts the formation energy at -0.72 eV/atom.

Lattice parameters (Å, degrees): 5.650 5.650 6.854 116.57 116.57 85.11
Fractional positions:
Dy  0.930  0.930  0.000
Ho  0.513  0.513  0.000
Pa  0.160  0.660  0.500
Pa  0.660  0.160  0.500
Rh  0.019  0.412  0.000
Rh  0.412  0.019  0.000
Rh  0.165  0.165  0.527
Rh  0.638  0.638  0.473

(2)
A plane-wave DFT calculation with PBE was carried out for a relaxed structure of Nd2Sn3PdRh4.

Values from the calculation:
The calculation puts the formation energy at -0.66 eV/atom.

Lattice parameters (Å, degrees): 4.219 4.219 11.803 90.00 90.00 90.00
Fractional positions:
Nd  0.500  0.000  0.271
Nd  0.000  0.500  0.729
Sn  0.000  0.000  0.500
Sn  0.500  0.000  0.870
Sn  0.000  0.500  0.130
Pd  0.500  0.500  0.500
Rh  0.500  0.500  0.000
Rh  0.000  0.000  0.000
Rh  0.500  0.000  0.650
Rh  0.000  0.500  0.350

(3)
A plane-wave DFT calculation with PBE was carried out for a relaxed structure of Zn2PBr.

Values from the calculation:
As for the energy relative to the elements, uncorrected: 0.0905 eV/atom. As for the relative energy among the computed polymorphs: 544 meV per atom.

Lattice parameters (Å, degrees): 5.154 5.154 3.347 76.22 76.22 89.15
Fractional positions:
Zn  0.500  0.000  0.000
Zn  0.000  0.500  0.000
P  0.000  0.000  0.000
Br  0.500  0.500  0.000